# Al2FeCo4

A relaxed Al2FeCo4 crystal (GGA-PBE, Alexandria).

Unit cell a=5.502 b=5.502 c=5.777 alpha=90.00 beta=90.00 gamma=90.00
Space group I4/mmm (No. 139)
Inequivalent atoms, fractional coordinates:
Al: 0.000 0.500 0.000 (multiplicity 4)
Fe: 0.000 0.000 0.000 (multiplicity 2)
Co: 0.250 0.250 0.250 (multiplicity 8)

Energy of formation in meV/atom: -19
Calculated density in Mg/m³: 6.56

# AlZn2Co

A relaxed AlZn2Co crystal (GGA-PBE, Alexandria).

Unit cell a=2.735 b=2.735 c=7.500 alpha=90.00 beta=90.00 gamma=90.00
Space group P4/mmm (No. 123)
Inequivalent atoms, fractional coordinates:
Al: 0.000 0.000 0.000 (multiplicity 1)
Zn: 0.500 0.500 0.281 (multiplicity 2)
Co: 0.000 0.000 0.500 (multiplicity 1)

Energy of formation in meV/atom: 61
Calculated density in Mg/m³: 6.42

# K2Sb2Pb

A relaxed K2Sb2Pb crystal (GGA-PBE, Alexandria).

Unit cell a=10.027 b=10.027 c=3.482 alpha=90.00 beta=90.00 gamma=90.00
Space group P4/mbm (No. 127)
Inequivalent atoms, fractional coordinates:
K: 0.195 0.305 0.000 (multiplicity 4)
Sb: 0.100 0.600 0.500 (multiplicity 4)
Pb: 0.000 0.000 0.500 (multiplicity 2)

Raw formation energy in eV/atom: -0.1186
Calculated density in Mg/m³: 5.02

# CoCuCl2

A relaxed CoCuCl2 crystal (GGA-PBE, Alexandria).

Unit cell a=3.569 b=3.309 c=6.987 alpha=90.00 beta=95.39 gamma=90.00
Space group Pm (No. 6)
Inequivalent atoms, fractional coordinates:
Co: 0.000 0.000 0.000 (multiplicity 1)
Cu: 0.437 0.500 0.862 (multiplicity 1)
Cl: 0.111 0.500 0.215 (multiplicity 1)
Cl: 0.732 0.000 0.691 (multiplicity 1)

Raw formation energy in eV/atom: -0.1271
Calculated density in Mg/m³: 3.91

# TbPr5Y2Tm

A relaxed TbPr5Y2Tm crystal (GGA-PBE, Alexandria).

Unit cell a=8.651 b=8.651 c=16.882 alpha=90.00 beta=90.00 gamma=90.00
Space group I4/mcm (No. 140)
Inequivalent atoms, fractional coordinates:
Tb: 0.000 0.000 0.250 (multiplicity 4)
Pr: 0.000 0.000 0.000 (multiplicity 4)
Pr: 0.215 0.285 0.144 (multiplicity 16)
Y: 0.123 0.377 0.500 (multiplicity 8)
Tm: 0.000 0.500 0.250 (multiplicity 4)

Energy of formation in meV/atom: 315
Calculated density in Mg/m³: 6.36

# Li2MoRh

A relaxed Li2MoRh crystal (GGA-PBE, Alexandria).

Unit cell a=3.585 b=3.585 c=4.541 alpha=90.00 beta=90.00 gamma=90.00
Space group P4/mmm (No. 123)
Inequivalent atoms, fractional coordinates:
Li: 0.000 0.500 0.000 (multiplicity 2)
Mo: 0.000 0.000 0.500 (multiplicity 1)
Rh: 0.500 0.500 0.500 (multiplicity 1)

Energy of formation in meV/atom: 200
Calculated density in Mg/m³: 6.05

| no. | final energy (Ry per atom) |
| --- | --- |
| 1 | -0.467 |
| 2 | -0.242 |
| 3 | -0.217 |
| 4 | -0.283 |
| 5 | -0.352 |
| 6 | -0.390 |